Entry from Alexandria: a geometry-optimized La2Sb2H structure (PBE).

Properties
For the polymorph energy (0 for the lowest one), the calculation gives 0.0 meV/atom. Its final energy is -5.174 eV/atom. The calculation puts the magnetization at 0.00 μB per formula unit.

Cell lengths 4.698, 7.620, 8.281 Å; angles 90.00, 106.48, 90.00 degrees
Fractional positions:
La  0.446  0.402  0.892
La  0.838  0.023  0.677
La  0.162  0.523  0.323
La  0.554  0.902  0.108
Sb  0.962  0.688  0.924
Sb  0.800  0.451  0.600
Sb  0.200  0.951  0.400
Sb  0.038  0.188  0.076
H  0.407  0.071  0.814
H  0.593  0.571  0.186